(1)
Compound: ZrVC
Source: Alexandria via LeMat-Bulk
Functional: PBE
Structure: optimized geometry

## Properties
- E_form: 0.34 eV/atom
- Distance to the lowest polymorph of the same formula: 0.689 eV/atom
- Total energy: -8.63 eV/atom

abc: 16.4965 3.0011 3.7877
angles: 90.00 90.11 90.00
Space group Cm (No. 8)
One atom of each set of equivalent atoms:
Zr 0.0000 0.0000 0.0000
Zr 0.1267 0.5000 0.5010
V 0.2761 0.5000 0.0026
V 0.3834 0.5000 0.4994
C 0.2599 0.5000 0.5024
C 0.4707 0.0000 0.4993


(2)
Compound: ZrVC
Source: Alexandria via LeMat-Bulk
Functional: PBE
Structure: optimized geometry

## Properties
- E_form: -0.25 eV/atom
- Distance to the lowest polymorph of the same formula: 0.104 eV/atom
- Total energy: -9.21 eV/atom

abc: 15.5343 3.6116 6.2456
angles: 90.00 93.49 90.00
Space group C2/m (No. 12)
One atom of each set of equivalent atoms:
Zr 0.0769 0.0000 0.3329
Zr 0.0943 0.5000 0.8559
V 0.2386 0.5000 0.6125
V 0.2406 0.5000 0.1340
C 0.1631 0.0000 0.6340
C 0.1700 0.0000 0.0904


(3)
Compound: ZrVC2
Source: Alexandria via LeMat-Bulk
Functional: PBE
Structure: optimized geometry

## Properties
- E_form: 0.51 eV/atom
- Total energy: -8.52 eV/atom

abc: 5.5658 5.5658 5.5658
angles: 90.00 90.00 90.00
Space group Fm-3m (No. 225)
One atom of each set of equivalent atoms:
Zr 0.0000 0.0000 0.0000
V 0.0000 0.0000 0.5000
C 0.2500 0.2500 0.2500


(4)
Compound: ZrVC2
Source: Alexandria via LeMat-Bulk
Functional: PBE
Structure: optimized geometry

## Properties
- E_form: -0.27 eV/atom
- Total energy: -9.30 eV/atom

abc: 3.1397 3.1397 15.9335
angles: 90.00 90.00 120.00
Space group R3m (No. 160, hexagonal axes)
One atom of each set of equivalent atoms:
Zr 0.0000 0.0000 0.0000
V 0.0000 0.0000 0.8240
C 0.0000 0.0000 0.4203
C 0.0000 0.0000 0.5670